1.
The following is a GGA-PBE calculation of a relaxed structure of Ce4LuTh, from Alexandria.

Cell: 6.237 6.237 6.237 Å, 60.00 60.00 60.00°
Positions (direct):
1 Ce 0.125 0.125 0.125
2 Ce 0.125 0.125 0.625
3 Ce 0.125 0.625 0.125
4 Ce 0.625 0.125 0.125
5 Lu 0.500 0.500 0.500
6 Th 0.750 0.750 0.750

Summary:
- Symmetry: F-43m
- Energy relative to the elements: 0.193 eV/atom
- Crystal system: cubic
- M_tot: 2.87 μB/cell

2.
The following is a GGA-PBE calculation of a relaxed structure of CeLuThTl, from Alexandria.

Cell: 5.443 5.443 5.443 Å, 60.00 60.00 60.00°
Positions (direct):
1 Ce 0.000 0.000 0.000
2 Lu 0.500 0.500 0.500
3 Th 0.750 0.750 0.750
4 Tl 0.250 0.250 0.250

Summary:
- Symmetry: F-43m
- Energy relative to the elements: 0.066 eV/atom
- Crystal system: cubic
- M_tot: 0.00 μB/cell

3.
The following is a GGA-PBE calculation of a relaxed structure of CeYLuTh, from Alexandria.

Cell: 5.628 5.628 5.628 Å, 60.00 60.00 60.00°
Positions (direct):
1 Ce 0.000 0.000 0.000
2 Y 0.750 0.750 0.750
3 Lu 0.500 0.500 0.500
4 Th 0.250 0.250 0.250

Summary:
- Symmetry: F-43m
- Energy relative to the elements: 0.219 eV/atom
- Crystal system: cubic
- M_tot: 2.20 μB/cell

What did the first record say?
The following is a GGA-PBE calculation of a relaxed structure of Ce4LuTh, from Alexandria.

Cell: 6.237 6.237 6.237 Å, 60.00 60.00 60.00°
Positions (direct):
1 Ce 0.125 0.125 0.125
2 Ce 0.125 0.125 0.625
3 Ce 0.125 0.625 0.125
4 Ce 0.625 0.125 0.125
5 Lu 0.500 0.500 0.500
6 Th 0.750 0.750 0.750

Summary:
- Symmetry: F-43m
- Energy relative to the elements: 0.193 eV/atom
- Crystal system: cubic
- M_tot: 2.87 μB/cell

> What is the formula in the first record?

Ce4LuTh